The following is a DFT calculation (PBE) of AlIO2F after structural relaxation.

Values from the calculation:
Calculated volume   59.61 Å³/cell

Unit cell a=3.9767 b=3.9767 c=3.7696 alpha=90.00 beta=90.00 gamma=90.00
Last column: nearest neighbours and their distance in Å.
Atoms (fractional coordinates):
Al1 0.0000 0.0000 0.0000  2 F 1.88, 4 O 1.99
I1 0.5000 0.5000 0.5000  8 O 2.74, 4 F 2.81
O1 0.0000 0.5000 0.0000  2 Al 1.99
O2 0.5000 0.0000 0.0000  2 Al 1.99
F1 0.0000 0.0000 0.5000  2 Al 1.88

The following is a DFT calculation (PBE) of AlIO2F after structural relaxation.

Values from the calculation:
Calculated volume   85.55 Å³/cell

Unit cell a=3.5682 b=3.5682 c=6.7190 alpha=90.00 beta=90.00 gamma=90.00
Last column: nearest neighbours and their distance in Å.
Atoms (fractional coordinates):
Al1 0.0000 0.0000 0.0000  4 O 1.78
I1 0.0000 0.0000 0.5000  4 F 2.52
O1 0.0000 0.5000 0.0000  2 Al 1.78
O2 0.5000 0.0000 0.0000  2 Al 1.78
F1 0.5000 0.5000 0.5000  4 I 2.52

The following is a DFT calculation (PBE) of AlIO2F after structural relaxation.

Values from the calculation:
Calculated volume   92.55 Å³/cell

Unit cell a=4.0429 b=4.0429 c=5.6622 alpha=90.00 beta=90.00 gamma=90.00
Last column: nearest neighbours and their distance in Å.
Atoms (fractional coordinates):
Al1 0.0000 0.0000 0.0000  4 F 2.86
I1 0.5000 0.5000 0.5000  4 O 2.02
O1 0.0000 0.5000 0.5000  2 I 2.02
O2 0.5000 0.0000 0.5000  2 I 2.02
F1 0.5000 0.5000 0.0000  2 I 2.83, 4 Al 2.86

The following is a DFT calculation (PBE) of AlIO2F after structural relaxation.

Values from the calculation:
Calculated volume   82.87 Å³/cell

Unit cell a=4.4589 b=4.4589 c=4.1682 alpha=90.00 beta=90.00 gamma=90.00
Last column: nearest neighbours and their distance in Å.
Atoms (fractional coordinates):
Al1 0.0000 0.0000 0.0000  8 O 3.05, 4 I 3.15
I1 0.5000 0.5000 0.0000  2 F 2.08
O1 0.0000 0.5000 0.5000  2 F 2.23
O2 0.5000 0.0000 0.5000  2 F 2.23
F1 0.5000 0.5000 0.5000  2 I 2.08, 4 O 2.23

The following is a DFT calculation (PBE) of AlI2OF after structural relaxation.

Values from the calculation:
Calculated volume   106.68 Å³/cell

Unit cell a=5.1827 b=5.1827 c=3.9715 alpha=90.00 beta=90.00 gamma=90.00
Last column: nearest neighbours and their distance in Å.
Atoms (fractional coordinates):
Al1 0.0000 0.0000 0.0000  8 I 3.26
I1 0.0000 0.5000 0.5000  2 F 2.59
I2 0.5000 0.0000 0.5000  2 F 2.59
O1 0.5000 0.5000 0.0000  2 F 1.99
F1 0.5000 0.5000 0.5000  2 O 1.99

The following is a DFT calculation (PBE) of AlPbIF2 after structural relaxation.

Values from the calculation:
Calculated volume   115.40 Å³/cell

Unit cell a=4.3471 b=4.3471 c=6.1070 alpha=90.00 beta=90.00 gamma=90.00
Last column: nearest neighbours and their distance in Å.
Atoms (fractional coordinates):
Al1 0.0000 0.0000 0.0000  4 F 2.17
Pb1 0.5000 0.5000 0.5000  4 I 3.07
I1 0.0000 0.0000 0.5000  2 Al 3.05, 4 Pb 3.07
F1 0.0000 0.5000 0.0000  2 Al 2.17
F2 0.5000 0.0000 0.0000  2 Al 2.17

The following is a DFT calculation (PBE) of Rb2AlI6F after structural relaxation.

Values from the calculation:
Calculated volume   384.40 Å³/cell

Unit cell a=8.5108 b=8.5108 c=8.5108 alpha=126.60 beta=126.60 gamma=78.90
Last column: nearest neighbours and their distance in Å.
Atoms (fractional coordinates):
Rb1 0.2500 0.7500 0.5000  12 I 3.85-4.26
Rb2 0.7500 0.2500 0.5000  12 I 3.85-4.26
Al1 0.0000 0.0000 0.0000  6 I 2.74-2.86
I1 0.2178 0.2178 0.0000  1 Al 2.86
I2 0.2533 0.2533 0.5066  1 F 2.67, 1 Al 2.74
I3 0.2533 0.7467 0.0000  1 F 2.67, 1 Al 2.74
I4 0.7467 0.2533 0.0000  1 F 2.67, 1 Al 2.74
I5 0.7467 0.7467 0.4934  1 F 2.67, 1 Al 2.74
I6 0.7822 0.7822 0.0000  1 Al 2.86
F1 0.5000 0.5000 0.0000  4 I 2.67

The following is a DFT calculation (PBE) of Rb2AlIF6 after structural relaxation.

Values from the calculation:
Calculated volume   202.56 Å³/cell

Unit cell a=6.4386 b=6.4386 c=6.4386 alpha=113.58 beta=113.58 gamma=101.52
Last column: nearest neighbours and their distance in Å.
Atoms (fractional coordinates):
Rb1 0.2500 0.7500 0.5000  12 F 3.30-3.53
Rb2 0.7500 0.2500 0.5000  12 F 3.30-3.53
Al1 0.0000 0.0000 0.0000  6 F 1.79-1.95
I1 0.5000 0.5000 0.0000  2 F 2.12
F1 0.1795 0.1795 0.3589  1 Al 1.79
F2 0.1795 0.8205 0.0000  1 Al 1.79
F3 0.2392 0.2392 0.0000  1 Al 1.95, 1 I 2.12
F4 0.7608 0.7608 0.0000  1 Al 1.95, 1 I 2.12
F5 0.8205 0.1795 0.0000  1 Al 1.79
F6 0.8205 0.8205 0.6411  1 Al 1.79

The records above give, respectively, formation energy (no corrections) values of -1.353; -1.120; -0.295; 0.642; 0.524; -1.151; -0.844; -2.651 eV/atom.
The records above give, respectively, theoretical density values of 5707; 3977; 3676; 4105; 4916; 5742; 4226; 3597 kg/m3.